1.
Here is a relaxed structure of Mo2IrPt5 from OQMD via LeMat-Bulk. Energies are from PBE-GGA.

## Properties
**Electronic total energy**: -125.2 eV per cell
**Crystal system**: orthorhombic
**Magnetic moment**: 0.01 μB/cell

Geometry as CIF:
```
data_Mo2IrPt5
_chemical_formula_sum 'Mo4 Ir2 Pt10'
_cell_length_a 4.575
_cell_length_b 5.539
_cell_length_c 9.664
_cell_angle_alpha 90.00
_cell_angle_beta 90.00
_cell_angle_gamma 90.00
_symmetry_space_group_name_H-M 'P 1'
_symmetry_Int_Tables_number 1
loop_
_symmetry_equiv_pos_as_xyz
'x,y,z'
loop_
_atom_site_label
_atom_site_fract_x
_atom_site_fract_y
_atom_site_fract_z
Mo1 0.000 0.000 0.000
Mo2 0.000 0.500 0.500
Mo3 0.500 0.000 0.339
Mo4 0.500 0.500 0.839
Ir1 0.000 0.000 0.495
Ir2 0.000 0.500 0.995
Pt1 0.000 0.245 0.252
Pt2 0.000 0.255 0.752
Pt3 0.000 0.745 0.752
Pt4 0.000 0.755 0.252
Pt5 0.500 0.000 0.841
Pt6 0.500 0.245 0.085
Pt7 0.500 0.255 0.585
Pt8 0.500 0.500 0.341
Pt9 0.500 0.745 0.585
Pt10 0.500 0.755 0.085
```

=====

2.
Here is a relaxed structure of PuMoIr from OQMD via LeMat-Bulk. Energies are from PBE-GGA.

## Properties
**Electronic total energy**: -132.3 eV per cell
**Crystal system**: cubic
**Magnetic moment**: 19.40 μB/cell

Geometry as CIF:
```
data_PuMoIr
_chemical_formula_sum 'Pu4 Mo4 Ir4'
_cell_length_a 6.160
_cell_length_b 6.160
_cell_length_c 6.160
_cell_angle_alpha 90.00
_cell_angle_beta 90.00
_cell_angle_gamma 90.00
_symmetry_space_group_name_H-M 'P 1'
_symmetry_Int_Tables_number 1
loop_
_symmetry_equiv_pos_as_xyz
'x,y,z'
loop_
_atom_site_label
_atom_site_fract_x
_atom_site_fract_y
_atom_site_fract_z
Pu1 0.000 0.000 0.000
Pu2 0.000 0.500 0.500
Pu3 0.500 0.000 0.500
Pu4 0.500 0.500 0.000
Mo1 0.250 0.250 0.750
Mo2 0.250 0.750 0.250
Mo3 0.750 0.250 0.250
Mo4 0.750 0.750 0.750
Ir1 0.000 0.000 0.500
Ir2 0.000 0.500 0.000
Ir3 0.500 0.000 0.000
Ir4 0.500 0.500 0.500
```

=====

3.
Here is a relaxed structure of PuMoIr from OQMD via LeMat-Bulk. Energies are from PBE-GGA.

## Properties
**Electronic total energy**: -125.5 eV per cell
**Crystal system**: cubic
**Magnetic moment**: 0.00 μB/cell

Geometry as CIF:
```
data_PuMoIr
_chemical_formula_sum 'Pu4 Mo4 Ir4'
_cell_length_a 6.167
_cell_length_b 6.167
_cell_length_c 6.167
_cell_angle_alpha 90.00
_cell_angle_beta 90.00
_cell_angle_gamma 90.00
_symmetry_space_group_name_H-M 'P 1'
_symmetry_Int_Tables_number 1
loop_
_symmetry_equiv_pos_as_xyz
'x,y,z'
loop_
_atom_site_label
_atom_site_fract_x
_atom_site_fract_y
_atom_site_fract_z
Pu1 0.000 0.000 0.000
Pu2 0.000 0.500 0.500
Pu3 0.500 0.000 0.500
Pu4 0.500 0.500 0.000
Mo1 0.250 0.250 0.250
Mo2 0.250 0.750 0.750
Mo3 0.750 0.250 0.750
Mo4 0.750 0.750 0.250
Ir1 0.250 0.250 0.750
Ir2 0.250 0.750 0.250
Ir3 0.750 0.250 0.250
Ir4 0.750 0.750 0.750
```

=====

4.
Here is a relaxed structure of RbMoIr from OQMD via LeMat-Bulk. Energies are from PBE-GGA.

## Properties
**Electronic total energy**: -48.3 eV per cell
**Crystal system**: cubic
**Magnetic moment**: 15.87 μB/cell

Geometry as CIF:
```
data_RbMoIr
_chemical_formula_sum 'Rb4 Mo4 Ir4'
_cell_length_a 6.758
_cell_length_b 6.758
_cell_length_c 6.758
_cell_angle_alpha 90.00
_cell_angle_beta 90.00
_cell_angle_gamma 90.00
_symmetry_space_group_name_H-M 'P 1'
_symmetry_Int_Tables_number 1
loop_
_symmetry_equiv_pos_as_xyz
'x,y,z'
loop_
_atom_site_label
_atom_site_fract_x
_atom_site_fract_y
_atom_site_fract_z
Rb1 0.000 0.000 0.000
Rb2 0.000 0.500 0.500
Rb3 0.500 0.000 0.500
Rb4 0.500 0.500 0.000
Mo1 0.250 0.250 0.250
Mo2 0.250 0.750 0.750
Mo3 0.750 0.250 0.750
Mo4 0.750 0.750 0.250
Ir1 0.250 0.250 0.750
Ir2 0.250 0.750 0.250
Ir3 0.750 0.250 0.250
Ir4 0.750 0.750 0.750
```

=====

5.
Here is a relaxed structure of RbMoIr from OQMD via LeMat-Bulk. Energies are from PBE-GGA.

## Properties
**Electronic total energy**: -62.6 eV per cell
**Crystal system**: cubic
**Magnetic moment**: 0.00 μB/cell

Geometry as CIF:
```
data_RbMoIr
_chemical_formula_sum 'Rb4 Mo4 Ir4'
_cell_length_a 6.390
_cell_length_b 6.390
_cell_length_c 6.390
_cell_angle_alpha 90.00
_cell_angle_beta 90.00
_cell_angle_gamma 90.00
_symmetry_space_group_name_H-M 'P 1'
_symmetry_Int_Tables_number 1
loop_
_symmetry_equiv_pos_as_xyz
'x,y,z'
loop_
_atom_site_label
_atom_site_fract_x
_atom_site_fract_y
_atom_site_fract_z
Rb1 0.000 0.000 0.000
Rb2 0.000 0.500 0.500
Rb3 0.500 0.000 0.500
Rb4 0.500 0.500 0.000
Mo1 0.250 0.250 0.750
Mo2 0.250 0.750 0.250
Mo3 0.750 0.250 0.250
Mo4 0.750 0.750 0.750
Ir1 0.000 0.000 0.500
Ir2 0.000 0.500 0.000
Ir3 0.500 0.000 0.000
Ir4 0.500 0.500 0.500
```

=====

6.
Here is a relaxed structure of Re2MoIr from OQMD via LeMat-Bulk. Energies are from PBE-GGA.

## Properties
**Electronic total energy**: -172.9 eV per cell
**Crystal system**: cubic
**Magnetic moment**: 2.73 μB/cell

Geometry as CIF:
```
data_Re2MoIr
_chemical_formula_sum 'Re8 Mo4 Ir4'
_cell_length_a 6.249
_cell_length_b 6.249
_cell_length_c 6.249
_cell_angle_alpha 90.00
_cell_angle_beta 90.00
_cell_angle_gamma 90.00
_symmetry_space_group_name_H-M 'P 1'
_symmetry_Int_Tables_number 1
loop_
_symmetry_equiv_pos_as_xyz
'x,y,z'
loop_
_atom_site_label
_atom_site_fract_x
_atom_site_fract_y
_atom_site_fract_z
Re1 0.000 0.000 0.000
Re2 0.000 0.500 0.500
Re3 0.250 0.250 0.250
Re4 0.250 0.750 0.750
Re5 0.500 0.000 0.500
Re6 0.500 0.500 0.000
Re7 0.750 0.250 0.750
Re8 0.750 0.750 0.250
Mo1 0.250 0.250 0.750
Mo2 0.250 0.750 0.250
Mo3 0.750 0.250 0.250
Mo4 0.750 0.750 0.750
Ir1 0.000 0.000 0.500
Ir2 0.000 0.500 0.000
Ir3 0.500 0.000 0.000
Ir4 0.500 0.500 0.500
```